Entry 1:
Here is a relaxed structure of Dy2TmHg from Alexandria via LeMat-Bulk. Energies are from PBE-GGA.

Cell lengths 5.361, 5.361, 3.860 Å; angles 90.00, 90.00, 90.00 degrees
Positions (direct):
Dy (0.000, 0.500, 0.000)
Dy (0.500, 0.000, 0.000)
Tm (0.000, 0.000, 0.500)
Hg (0.500, 0.500, 0.500)

Values from the calculation:
Formation energy from the elements = -0.119 eV/atom
Spin magnetization = 0.0 μB per formula unit
ΔE to the lowest computed polymorph = 107.4 meV per atom

---

Entry 2:
Here is a relaxed structure of Dy3Tm2Hg7 from Alexandria via LeMat-Bulk. Energies are from PBE-GGA.

Cell lengths 11.682, 11.682, 5.418 Å; angles 90.00, 90.00, 154.56 degrees
Positions (direct):
Dy (0.000, 0.000, 0.000)
Dy (0.166, 0.834, 0.000)
Dy (0.834, 0.166, 0.000)
Tm (0.356, 0.644, 0.500)
Tm (0.644, 0.356, 0.500)
Hg (0.076, 0.924, 0.500)
Hg (0.222, 0.778, 0.500)
Hg (0.415, 0.585, 0.000)
Hg (0.500, 0.500, 0.500)
Hg (0.585, 0.415, 0.000)
Hg (0.778, 0.222, 0.500)
Hg (0.924, 0.076, 0.500)

Values from the calculation:
Formation energy from the elements = -0.300 eV/atom
Spin magnetization = 0.0 μB per formula unit

---

no.,calculated density (g cm⁻³)
1,10.4
2,11.7